PBE Be3InFe, relaxed; magnetic moment = 0.0 μB per cell; E = -3.837 eV/atom; energy of formation = 639 meV per atom
1.0
-0.4388 3.6484 -1.7069
-0.6295 -1.7580 -3.5959
-3.9785 -0.1243 0.7572
Be Fe In
3 1 1
direct
0.0000 0.5000 0.0000
0.5000 0.0000 0.0000
0.0000 0.0000 0.5000
0.0000 0.0000 0.0000
0.5000 0.5000 0.5000